! NaAcAlBi, relaxed, DFT PBE; values from VASP
! VASP energy   -3.465 eV per atom
! Crystal system   cubic
! ρ   6.4 Mg/m³
&SYSTEM
  ibrav = 0, nat = 4, ntyp = 4
/
ATOMIC_SPECIES
Al 26.98 Al.upf
Na 22.99 Na.upf
Ac 227.00 Ac.upf
Bi 208.98 Bi.upf
CELL_PARAMETERS angstrom
-3.1244 -2.0343 4.2019
-2.3598 -5.0772 -0.4578
1.9088 -4.2747 3.1047
ATOMIC_POSITIONS crystal
Al 0.2500 0.2500 0.2500
Na 0.0000 0.0000 0.0000
Ac 0.5000 0.5000 0.5000
Bi 0.7500 0.7500 0.7500

! CeSm3Y6Er2, relaxed, DFT PBE; values from VASP
! VASP energy   -5.631 eV per atom
! Crystal system   monoclinic
! ρ   6.3 Mg/m³
&SYSTEM
  ibrav = 0, nat = 12, ntyp = 4
/
ATOMIC_SPECIES
Y 88.91 Y.upf
Er 167.26 Er.upf
Sm 150.36 Sm.upf
Ce 140.12 Ce.upf
CELL_PARAMETERS angstrom
-2.7256 -5.2146 -1.9380
5.2975 -0.2803 3.1990
-6.8922 1.2859 9.5294
ATOMIC_POSITIONS crystal
Y 0.5859 0.9173 0.7527
Y 0.9173 0.5859 0.7527
Y 0.7512 0.7512 0.2474
Y 0.2488 0.2488 0.7526
Y 0.0827 0.4141 0.2473
Y 0.4141 0.0827 0.2473
Er 0.3333 0.6667 0.0000
Er 0.6667 0.3333 0.0000
Sm 0.1675 0.8325 0.5000
Sm 0.5000 0.5000 0.5000
Sm 0.8325 0.1675 0.5000
Ce 0.0000 0.0000 0.0000